DFT (PBE) results for CsSrFe3 after structural relaxation.

abc: 5.1713 5.1713 5.1713
angles: 90.00 90.00 90.00
Space group Pm-3m (No. 221)
Asymmetric unit:
1 Cs 0.0000 0.0000 0.0000
2 Sr 0.5000 0.5000 0.5000
3 Fe 0.0000 0.0000 0.5000

Computed properties:
Theoretical density = 4.7 g/cm³
VASP energy = -3.54 eV/atom
Fermi-level density of states = 7.1 states/eV per cell
E above lowest polymorph = 151.5 meV per atom
Magnetic moment = 8.39 μB per formula unit